An optimized crystal structure of SrLi2InRh, computed with PBE-GGA.

abc: 4.274 4.409 12.131
angles: 90.00 90.00 90.00
Space group Imm2 (No. 44)
Inequivalent atoms, fractional coordinates:
Sr1 0.000 0.000 0.000 x2
Li1 0.000 0.000 0.618 x2
Li2 0.000 0.500 0.286 x2
In1 0.000 0.500 0.773 x2
Rh1 0.000 0.000 0.407 x2

Values from the calculation:
ΔE_f ... -1.3 eV/f.u.
Fermi-level density of states ... 4.29 states/eV/cell
E above lowest polymorph ... 0 meV/atom